Entry 1:
{"formula": "Zr4NiMo", "functional": "GGA-PBEsol", "state": "relaxed", "ef_ev_per_atom": -0.20, "spacegroup": "F-43m, No. 216", "lattice": [[8.674, 0.000, 0.000], [4.337, 7.512, 0.000], [4.337, 2.504, 7.083]], "species": ["Zr", "Zr", "Zr", "Zr", "Zr", "Zr", "Zr", "Zr", "Zr", "Zr", "Zr", "Zr", "Zr", "Zr", "Zr", "Zr", "Ni", "Ni", "Ni", "Ni", "Mo", "Mo", "Mo", "Mo"], "fractional_positions": [[0.952, 0.952, 0.548], [0.398, 0.398, 0.398], [0.952, 0.548, 0.952], [0.548, 0.548, 0.952], [0.548, 0.952, 0.952], [0.398, 0.805, 0.398], [0.815, 0.185, 0.815], [0.185, 0.815, 0.185], [0.952, 0.548, 0.548], [0.185, 0.815, 0.815], [0.815, 0.185, 0.185], [0.805, 0.398, 0.398], [0.185, 0.185, 0.815], [0.398, 0.398, 0.805], [0.548, 0.952, 0.548], [0.815, 0.815, 0.185], [0.173, 0.609, 0.609], [0.609, 0.609, 0.609], [0.609, 0.173, 0.609], [0.609, 0.609, 0.173], [0.167, 0.167, 0.167], [0.167, 0.167, 0.498], [0.498, 0.167, 0.167], [0.167, 0.498, 0.167]]}



Entry 2:
{"formula": "ZrNiMo2", "functional": "GGA-PBEsol", "state": "relaxed", "ef_ev_per_atom": 0.34, "spacegroup": "R-3m, No. 166", "lattice": [[2.741, 0.000, 0.000], [1.371, 2.374, 0.000], [1.371, 0.791, 9.540]], "species": ["Zr", "Mo", "Mo", "Ni"], "fractional_positions": [[0.000, 0.000, 0.000], [0.760, 0.760, 0.719], [0.240, 0.240, 0.281], [0.500, 0.500, 0.500]]}



Entry 3:
{"formula": "ZrNi2Mo", "functional": "GGA-PBEsol", "state": "relaxed", "ef_ev_per_atom": -0.03, "spacegroup": "P4/mmm, No. 123", "lattice": [[3.227, 0.000, 0.000], [0.000, 3.227, 0.000], [0.000, 0.000, 5.489]], "species": ["Ni", "Ni", "Zr", "Mo"], "fractional_positions": [[0.000, 0.000, 0.274], [0.000, 0.000, 0.726], [0.500, 0.500, 0.000], [0.500, 0.500, 0.500]]}



Entry 4:
{"formula": "Mo4O11", "functional": "GGA-PBEsol", "state": "relaxed", "raw_formation_energy_ev_per_atom": -2.01, "spacegroup": "P2_1/c, No. 14", "lattice": [[-1.905, -4.961, 1.244], [5.060, -2.791, -3.384], [12.284, 0.612, 21.253]], "species": ["O", "O", "O", "O", "O", "O", "O", "O", "O", "O", "O", "O", "O", "O", "O", "O", "O", "O", "O", "O", "O", "O", "O", "O", "O", "O", "O", "O", "O", "O", "O", "O", "O", "O", "O", "O", "O", "O", "O", "O", "O", "O", "O", "O", "Mo", "Mo", "Mo", "Mo", "Mo", "Mo", "Mo", "Mo", "Mo", "Mo", "Mo", "Mo", "Mo", "Mo", "Mo", "Mo"], "fractional_positions": [[0.496, 0.818, 0.126], [0.543, 0.554, 0.444], [0.747, 0.218, 0.974], [0.740, 0.832, 0.719], [0.258, 0.882, 0.413], [0.753, 0.218, 0.474], [0.495, 0.496, 0.749], [0.976, 0.475, 0.560], [0.480, 0.838, 0.812], [0.524, 0.475, 0.060], [0.986, 0.848, 0.814], [0.761, 0.509, 0.345], [0.520, 0.162, 0.188], [0.001, 0.200, 0.876], [0.486, 0.152, 0.686], [0.242, 0.882, 0.913], [0.239, 0.491, 0.655], [0.760, 0.832, 0.219], [0.457, 0.446, 0.556], [0.499, 0.200, 0.376], [0.024, 0.525, 0.440], [0.476, 0.525, 0.940], [0.253, 0.782, 0.026], [0.004, 0.818, 0.626], [0.514, 0.848, 0.314], [0.260, 0.168, 0.281], [0.999, 0.800, 0.124], [0.957, 0.554, 0.944], [0.020, 0.838, 0.312], [0.504, 0.182, 0.874], [0.014, 0.152, 0.186], [0.240, 0.168, 0.781], [0.995, 0.504, 0.751], [0.043, 0.446, 0.056], [0.980, 0.162, 0.688], [0.501, 0.800, 0.624], [0.247, 0.782, 0.526], [0.758, 0.118, 0.087], [0.261, 0.491, 0.155], [0.739, 0.509, 0.845], [0.505, 0.504, 0.251], [0.996, 0.182, 0.374], [0.742, 0.118, 0.587], [0.005, 0.496, 0.249], [0.732, 0.313, 0.544], [0.260, 0.005, 0.337], [0.740, 0.995, 0.663], [0.268, 0.687, 0.456], [0.740, 0.666, 0.779], [0.768, 0.313, 0.044], [0.242, 0.658, 0.602], [0.260, 0.334, 0.221], [0.232, 0.687, 0.956], [0.240, 0.334, 0.721], [0.758, 0.342, 0.398], [0.742, 0.342, 0.898], [0.760, 0.995, 0.163], [0.240, 0.005, 0.837], [0.760, 0.666, 0.279], [0.258, 0.658, 0.102]]}



Entry 5:
{"formula": "MoO3", "functional": "GGA-PBEsol", "state": "relaxed", "raw_formation_energy_ev_per_atom": -1.95, "spacegroup": "P1, No. 1", "lattice": [[5.386, -0.097, -0.017], [0.104, 5.378, -0.021], [0.095, 0.028, 7.597]], "species": ["O", "O", "O", "O", "O", "O", "O", "O", "O", "O", "O", "O", "Mo", "Mo", "Mo", "Mo"], "fractional_positions": [[0.552, 0.995, 0.754], [0.241, 0.770, 0.525], [0.053, 0.501, 0.254], [0.780, 0.228, 0.025], [0.781, 0.231, 0.486], [0.473, 0.005, 0.257], [0.281, 0.270, 0.985], [0.280, 0.272, 0.527], [0.243, 0.770, 0.987], [0.743, 0.730, 0.485], [0.741, 0.730, 0.027], [0.973, 0.499, 0.757], [0.961, 0.495, 0.987], [0.969, 0.496, 0.479], [0.461, 0.005, 0.487], [0.469, 0.003, 0.979]]}



Entry 6:
{"formula": "MoO3", "functional": "GGA-PBEsol", "state": "relaxed", "raw_formation_energy_ev_per_atom": -1.90, "spacegroup": "Cmcm, No. 63", "lattice": [[-0.521, 3.687, 0.026], [-3.128, -0.428, -2.010], [-5.587, -0.828, 5.386]], "species": ["Mo", "Mo", "O", "O", "O", "O", "O", "O"], "fractional_positions": [[0.250, 0.098, 0.804], [0.750, 0.902, 0.196], [0.750, 0.793, 0.415], [0.250, 0.207, 0.585], [0.250, 0.936, 0.129], [0.750, 0.064, 0.871], [0.250, 0.579, 0.842], [0.750, 0.421, 0.158]]}